1:
This record from the Open Quantum Materials Database describes an optimized crystal structure of K2Pa2O5. The functional is PBE-GGA.

space group = P4/mmm

POSCAR file:
```
K2Pa2O5
1.0
6.976 0.000 0.000
0.000 4.392 0.000
0.000 0.000 4.392
K O Pa
2 5 2
Cartesian
1.263 2.196 2.196
5.712 2.196 2.196
1.470 2.196 0.000
5.505 2.196 0.000
1.470 0.000 2.196
5.505 0.000 2.196
3.488 2.196 2.196
0.000 0.000 0.000
3.488 0.000 0.000
```

2:
This record from the Open Quantum Materials Database describes an optimized crystal structure of K2Pa2O5. The functional is PBE-GGA.

space group = P4/mmm

POSCAR file:
```
K2Pa2O5
1.0
8.779 0.000 0.000
0.000 4.409 0.000
0.000 0.000 4.409
K O Pa
2 5 2
Cartesian
0.000 0.000 0.000
4.390 0.000 0.000
1.822 2.205 0.000
6.957 2.205 0.000
1.822 0.000 2.205
6.957 0.000 2.205
4.390 2.205 2.205
2.188 2.205 2.205
6.591 2.205 2.205
```

Of them, 1 has the lowest stability.

1:
This record from the Open Quantum Materials Database describes an optimized crystal structure of K2Pd2O5. The functional is PBE-GGA.

space group = P4/mmm

POSCAR file:
```
K2Pd2O5
1.0
-7.524 -4.858 2.796
1.940 -1.033 3.425
-1.466 3.325 1.833
K O Pd
2 5 2
Cartesian
-1.614 -0.049 3.317
-5.435 -2.517 4.738
0.394 -0.889 1.927
-5.977 -5.003 4.295
-1.309 1.290 1.131
-7.680 -2.824 3.499
-3.525 -1.283 4.027
0.000 0.000 0.000
-3.762 -2.429 1.398
```

2:
This record from the Open Quantum Materials Database describes an optimized crystal structure of K2Pd2O5. The functional is PBE-GGA.

space group = P4/mmm

POSCAR file:
```
K2Pd2O5
1.0
-0.901 6.758 5.464
-3.559 0.663 -1.407
-1.502 -2.371 2.685
K O Pd
2 5 2
Cartesian
0.000 0.000 0.000
-0.450 3.379 2.732
-1.976 1.807 0.490
-2.484 5.613 3.567
-0.948 0.291 2.536
-1.455 4.096 5.613
-2.981 2.525 3.371
-2.773 0.961 2.107
-3.190 4.088 4.635
```

Of them, 1 has the lowest stability.

1:
This record from the Open Quantum Materials Database describes an optimized crystal structure of K2Pm2O5. The functional is PBE-GGA.

space group = P4/mmm

POSCAR file:
```
K2Pm2O5
1.0
-1.159 -2.845 -6.633
1.926 -3.706 1.253
-3.851 -1.549 1.338
K O Pm
2 5 2
Cartesian
-1.183 -3.168 0.036
-1.902 -4.933 -4.079
0.729 -2.429 -0.715
0.038 -4.123 -4.665
-2.160 -1.350 -0.673
-2.850 -3.044 -4.623
-1.542 -4.050 -2.021
0.000 0.000 0.000
-0.580 -1.423 -3.317
```

2:
This record from the Open Quantum Materials Database describes an optimized crystal structure of K2Pm2O5. The functional is PBE-GGA.

space group = P4/mmm

POSCAR file:
```
K2Pm2O5
1.0
-2.156 3.268 -8.110
-4.215 -1.096 0.679
-0.741 3.958 1.792
K O Pm
2 5 2
Cartesian
0.000 0.000 0.000
-1.078 1.634 -4.055
-2.533 0.097 -1.262
-3.838 2.075 -6.169
-0.796 2.624 -0.705
-2.101 4.602 -5.613
-3.556 3.065 -2.820
-3.032 2.271 -0.850
-4.079 3.859 -4.790
```

Of them, 1 has the lowest stability.